# HRhS2 | the Alexandria database | PBE | relaxed
# ΔE to the lowest computed polymorph in kJ/mol of formula units: 286
data_HRhS2
_chemical_formula_sum 'H1 Rh1 S2'
_cell_length_a 3.4501
_cell_length_b 3.4501
_cell_length_c 4.5344
_cell_angle_alpha 90.00
_cell_angle_beta 90.00
_cell_angle_gamma 90.00
_space_group_name_H-M_alt 'P 4/m m m'
_space_group_IT_number 123
_space_group_name_Hall '-P 4 2'
loop_
_atom_site_label
_atom_site_type_symbol
_atom_site_fract_x
_atom_site_fract_y
_atom_site_fract_z
_atom_site_occupancy
H1 H 0.0000 0.0000 0.0000 1
Rh1 Rh 0.5000 0.5000 0.5000 1
S1 S 0.0000 0.0000 0.5000 1
S2 S 0.5000 0.5000 0.0000 1